Entry A
VASP calculation (PBE) on a geometry-optimized Na3Li2ReO6 structure.

Structure (extended XYZ):
```
12
Lattice="2.770 -4.746 0.000 2.770 4.746 0.000 -1.516 0.000 4.885" Properties=species:S:1:pos:R:3 pbc="T T T"
Na 2.770 1.585 0.000
Na 2.770 -1.585 0.000
O 3.265 1.351 3.765
O 0.759 -1.351 1.119
O 0.019 0.000 3.759
Na 2.012 0.000 2.442
O 3.265 -1.351 3.765
Re 0.000 0.000 0.000
O 4.005 0.000 1.126
Li 2.012 3.356 2.442
Li 2.012 -3.356 2.442
O 0.759 1.351 1.119
```

Entry B
VASP calculation (PBE) on a geometry-optimized Na3Li2ReO6 structure.

Structure (extended XYZ):
```
12
Lattice="2.602 -4.505 0.000 2.602 4.505 0.000 -1.706 0.000 5.178" Properties=species:S:1:pos:R:3 pbc="T T T"
Na 1.748 2.879 2.589
O 0.796 1.363 1.073
Re 0.000 0.000 0.000
O 0.796 -1.363 1.073
O -0.152 0.000 4.086
Na 1.748 -2.879 2.589
O 2.701 -1.363 4.106
Na 1.748 0.000 2.589
Li 2.602 -1.497 0.000
O 3.648 0.000 1.092
Li 2.602 1.497 0.000
O 2.701 1.363 4.106
```

Which structure wins on stability? entry B wins.

Entry A
VASP calculation (PBE) on a geometry-optimized Na2Li3ReO6 structure.

Structure (extended XYZ):
```
12
Lattice="2.699 -4.645 0.000 2.699 4.645 0.000 -1.882 0.000 4.670" Properties=species:S:1:pos:R:3 pbc="T T T"
O 0.751 -1.334 1.157
O 2.764 -1.334 3.514
Li 1.758 -3.082 2.335
Li 1.758 3.082 2.335
O -0.334 0.000 3.586
Li 1.758 0.000 2.335
Na 2.699 -1.553 0.000
O 2.764 1.334 3.514
O 3.849 0.000 1.085
Re 0.000 0.000 0.000
O 0.751 1.334 1.157
Na 2.699 1.553 0.000
```

Entry B
VASP calculation (PBE) on a geometry-optimized Na2Li3ReO6 structure.

Structure (extended XYZ):
```
12
Lattice="2.540 -4.549 0.000 2.540 4.549 0.000 -1.836 0.000 5.016" Properties=species:S:1:pos:R:3 pbc="T T T"
Na 1.622 -2.908 2.508
O -0.268 0.000 3.937
Re 0.000 0.000 0.000
O 2.446 -1.339 3.925
O 3.512 0.000 1.079
Li 2.540 -1.494 0.000
Li 2.540 1.494 0.000
O 2.446 1.339 3.925
Na 1.622 2.908 2.508
Li 1.622 0.000 2.508
O 0.798 1.339 1.091
O 0.798 -1.339 1.091
```

Which structure wins on stability? entry B wins.

Entry A
VASP calculation (PBE) on a geometry-optimized Na3LiZnTeO6 structure.

Structure (extended XYZ):
```
12
Lattice="-0.441 -0.387 -5.281 -4.117 -1.308 3.094 -0.213 5.524 0.514" Properties=species:S:1:pos:R:3 pbc="T T T"
Te -3.504 -1.155 1.696
Na -0.585 2.365 -4.939
O -4.018 -0.235 0.040
O -0.614 4.128 -1.520
Na -2.949 1.773 0.447
O -3.683 3.058 -1.406
Zn -1.059 -0.542 -3.873
Na -1.785 2.065 -2.206
Li -2.276 -0.847 -1.101
O -2.916 0.012 -2.983
O -0.997 0.793 -0.476
O -2.086 3.729 1.324
```

Entry B
VASP calculation (PBE) on a geometry-optimized Na3LiZnTeO6 structure.

Structure (extended XYZ):
```
12
Lattice="2.700 -4.712 0.000 2.700 4.712 0.000 -1.590 0.000 5.136" Properties=species:S:1:pos:R:3 pbc="T T T"
Te 1.905 3.185 2.568
Na 2.700 1.416 0.000
O 0.775 -1.583 1.412
Zn 1.905 -3.120 2.568
Li 2.700 4.455 0.000
O -0.114 -0.090 3.742
Na 1.905 0.029 2.568
O 3.034 -1.583 3.724
O 2.825 1.820 3.635
Na 2.700 -1.547 0.000
O 3.923 -0.090 1.393
O 0.984 1.820 1.501
```

Which structure wins on stability? entry A wins.

Entry A
VASP calculation (PBE) on a geometry-optimized NaLiZnO2 structure.

Structure (extended XYZ):
```
10
Lattice="-0.660 2.013 -5.251 -3.468 2.438 -3.753 3.654 3.859 5.757" Properties=species:S:1:pos:R:3 pbc="T T T"
O -0.421 1.089 -1.098
O 0.553 4.517 -0.244
Na -2.125 5.163 -5.450
O -0.054 7.221 -2.149
Zn -0.969 7.220 -3.864
Na 1.651 3.147 2.203
Li 0.704 6.489 -0.520
O -1.028 3.793 -3.003
Zn 0.494 1.090 0.618
Li -1.179 1.821 -2.727
```

Entry B
VASP calculation (PBE) on a geometry-optimized NaLiZnO2 structure.

Structure (extended XYZ):
```
5
Lattice="-1.781 -1.773 -2.120 -0.584 -0.225 3.228 -3.826 4.312 -0.393" Properties=species:S:1:pos:R:3 pbc="T T T"
Zn -1.978 0.380 1.343
Li -3.709 4.180 -0.381
Na -3.912 1.594 -0.597
O -4.497 3.219 1.084
O -1.458 1.643 -0.150
```

Which structure wins on stability? entry B wins.

Entry A
VASP calculation (PBE) on a geometry-optimized NaLiPd structure.

Structure (extended XYZ):
```
3
Lattice="0.000 3.078 3.078 3.078 0.000 3.078 3.078 3.078 0.000" Properties=species:S:1:pos:R:3 pbc="T T T"
Li 0.000 0.000 0.000
Pd 4.617 4.617 4.617
Na 1.539 1.539 1.539
```

Entry B
VASP calculation (PBE) on a geometry-optimized NaLiPd structure.

Structure (extended XYZ):
```
3
Lattice="-1.713 -3.336 -2.457 -3.054 0.884 -3.162 1.086 -0.378 -4.334" Properties=species:S:1:pos:R:3 pbc="T T T"
Na 0.000 0.000 0.000
Li -0.920 -0.708 -2.488
Pd -2.761 -2.123 -7.465
```

Which structure wins on stability? entry A wins.

Entry A
VASP calculation (PBE) on a geometry-optimized NaLiTePd structure.

Structure (extended XYZ):
```
4
Lattice="0.000 3.351 3.351 3.351 0.000 3.351 3.351 3.351 0.000" Properties=species:S:1:pos:R:3 pbc="T T T"
Te 1.675 1.675 1.675
Pd 3.351 3.351 3.351
Li 0.000 0.000 0.000
Na 5.026 5.026 5.026
```

Entry B
VASP calculation (PBE) on a geometry-optimized NaLiTePd structure.

Structure (extended XYZ):
```
4
Lattice="0.000 3.364 3.364 3.364 0.000 3.364 3.364 3.364 0.000" Properties=species:S:1:pos:R:3 pbc="T T T"
Pd 1.682 1.682 1.682
Na 5.046 5.046 5.046
Te 0.000 0.000 0.000
Li 3.364 3.364 3.364
```

Entry C
VASP calculation (PBE) on a geometry-optimized NaLiTePd structure.

Structure (extended XYZ):
```
4
Lattice="-2.589 0.218 4.040 -4.684 1.044 -0.203 -3.261 -3.397 0.949" Properties=species:S:1:pos:R:3 pbc="T T T"
Na -7.900 -1.601 3.590
Li -2.633 -0.534 1.197
Te 0.000 0.000 0.000
Pd -5.267 -1.068 2.393
```

Which structure wins on stability? entry A wins.